VB2Se4: optimized geometry, PBE.

a = 5.7746 Å, b = 5.7746 Å, c = 5.7746 Å
α = 103.41°, β = 103.41°, γ = 122.42°
Positions (direct):
V1 0.0000 0.0000 0.0000
B1 0.2500 0.7500 0.5000
B2 0.7500 0.2500 0.5000
Se1 0.1422 0.6628 0.8050
Se2 0.3372 0.1422 0.4793
Se3 0.6628 0.8578 0.5207
Se4 0.8578 0.3372 0.1950

SG ... No. 87
Total moment ... 3.00 Bohr magnetons per cell
Formation energy (no corrections) ... -0.064 eV per atom